# RhIBr PBE optimized geometry
data_RhIBr
_chemical_formula_sum 'Rh4 I4 Br4'
_space_group_name_H-M_alt 'C 1 c 1'
_space_group_IT_number 9
_cell_length_a 7.643
_cell_length_b 7.587
_cell_length_c 6.859
_cell_angle_alpha 90.00
_cell_angle_beta 122.54
_cell_angle_gamma 90.00
loop_
_space_group_symop_operation_xyz
'x,y,z'
'x,-y,z+1/2'
'x+1/2,y+1/2,z'
'x+1/2,-y+1/2,z+1/2'
loop_
_atom_site_label
_atom_site_type_symbol
_atom_site_fract_x
_atom_site_fract_y
_atom_site_fract_z
Rh1 Rh 0.000 0.132 0.000
I1 I 0.207 0.139 0.452
Br1 Br 0.280 0.373 0.057
# Formation energy (no corrections) (meV/atom): -105
# Excess energy over the best structure of this formula in the dataset (meV/atom): 42
# Spin magnetization (μB per cell): 0.000
# N(E_F) (states/eV/f.u.): 1.6